The following is a DFT calculation (meta-GGA SCAN) of a crystal of LiPtAu2 relaxed with PBEsol.

Properties
size of the total moment: 0.000 μB per cell
DFT formation energy: -0.3918 eV per atom

Cell and atoms, written as CIF:
```
data_LiPtAu2
_chemical_formula_sum 'Li1 Pt1 Au2'
_cell_length_a 3.0205
_cell_length_b 4.5325
_cell_length_c 4.5320
_cell_angle_alpha 90.00
_cell_angle_beta 90.00
_cell_angle_gamma 90.00
_space_group_name_H-M_alt 'P m m 2'
_space_group_IT_number 25
loop_
_space_group_symop_operation_xyz
'x,y,z'
'-x,-y,z'
'-x,y,z'
'x,-y,z'
loop_
_atom_site_label
_atom_site_fract_x
_atom_site_fract_y
_atom_site_fract_z
Li1 0.0000 0.0000 0.0000
Pt1 0.0000 0.5000 0.5066
Au1 0.5000 0.0000 0.5014
Au2 0.5000 0.5000 0.0068
```